Entry 1:
A plane-wave DFT calculation with PBE was carried out for Tb3GeRh8 after structural relaxation.

a b c (Å): 9.1933 9.1933 9.1933
angles (deg): 33.65 33.65 33.65
Fractional positions:
Tb  0.0000  0.0000  0.0000
Tb  0.1305  0.1305  0.1305
Tb  0.5184  0.5184  0.5184
Ge  0.6504  0.6504  0.6504
Rh  0.0680  0.0680  0.5671
Rh  0.0680  0.5671  0.0680
Rh  0.0691  0.5668  0.5668
Rh  0.3162  0.3162  0.3162
Rh  0.5671  0.0680  0.0680
Rh  0.5668  0.0691  0.5668
Rh  0.5668  0.5668  0.0691
Rh  0.8176  0.8176  0.8176

The calculation puts the final energy at -7.022 eV/atom. The energy of formation from the pure elements is -578 meV per atom. For the spin magnetization, the calculation gives 0.00 Bohr magnetons per cell. The density comes out at 10.7 g/cm³.

***

Entry 2:
A plane-wave DFT calculation with PBE was carried out for Tb3Ge2Rh3 after structural relaxation.

a b c (Å): 7.5604 15.1456 5.5953
angles (deg): 90.00 90.00 90.00
Fractional positions:
Tb  0.0246  0.1056  0.1373
Tb  0.0246  0.3944  0.1373
Tb  0.1669  0.2500  0.6079
Tb  0.3331  0.7500  0.1079
Tb  0.4754  0.6056  0.6373
Tb  0.4754  0.8944  0.6373
Tb  0.5246  0.1056  0.3627
Tb  0.5246  0.3944  0.3627
Tb  0.6669  0.2500  0.8921
Tb  0.8331  0.7500  0.3921
Tb  0.9754  0.6056  0.8627
Tb  0.9754  0.8944  0.8627
Ge  0.1223  0.6078  0.3659
Ge  0.1223  0.8922  0.3659
Ge  0.3777  0.1078  0.8659
Ge  0.3777  0.3922  0.8659
Ge  0.6223  0.6078  0.1341
Ge  0.6223  0.8922  0.1341
Ge  0.8777  0.1078  0.6341
Ge  0.8777  0.3922  0.6341
Rh  0.1720  0.0343  0.5916
Rh  0.1720  0.4657  0.5916
Rh  0.1861  0.7500  0.6140
Rh  0.3139  0.2500  0.1140
Rh  0.3280  0.5343  0.0916
Rh  0.3280  0.9657  0.0916
Rh  0.6720  0.0343  0.9084
Rh  0.6720  0.4657  0.9084
Rh  0.6861  0.7500  0.8860
Rh  0.8139  0.2500  0.3860
Rh  0.8280  0.5343  0.4084
Rh  0.8280  0.9657  0.4084

The calculation puts the final energy at -6.586 eV/atom. The energy of formation from the pure elements is -938 meV per atom. For the spin magnetization, the calculation gives 0.00 Bohr magnetons per cell. The density comes out at 9.6 g/cm³.

***

Entry 3:
A plane-wave DFT calculation with PBE was carried out for TbGe3Rh3 after structural relaxation.

a b c (Å): 7.7313 7.7313 7.7313
angles (deg): 90.00 90.00 90.00
Fractional positions:
Tb  0.0572  0.4428  0.5572
Tb  0.4428  0.5572  0.0572
Tb  0.5572  0.0572  0.4428
Tb  0.9428  0.9428  0.9428
Ge  0.0070  0.3034  0.9129
Ge  0.0871  0.5070  0.1966
Ge  0.1966  0.0871  0.5070
Ge  0.3034  0.9129  0.0070
Ge  0.4129  0.4930  0.6966
Ge  0.4930  0.6966  0.4129
Ge  0.5070  0.1966  0.0871
Ge  0.5871  0.9930  0.8034
Ge  0.6966  0.4129  0.4930
Ge  0.8034  0.5871  0.9930
Ge  0.9129  0.0070  0.3034
Ge  0.9930  0.8034  0.5871
Rh  0.1119  0.6119  0.8881
Rh  0.1767  0.1767  0.1767
Rh  0.1984  0.8016  0.3016
Rh  0.3016  0.1984  0.8016
Rh  0.3233  0.8233  0.6767
Rh  0.3881  0.3881  0.3881
Rh  0.6119  0.8881  0.1119
Rh  0.6767  0.3233  0.8233
Rh  0.6984  0.6984  0.6984
Rh  0.8016  0.3016  0.1984
Rh  0.8233  0.6767  0.3233
Rh  0.8881  0.1119  0.6119

As for the energy above the most stable polymorph in this dataset: 0 kJ/mol of formula units. The calculation puts the final energy at -6.442 eV/atom. The energy of formation from the pure elements is -651 meV per atom. For the spin magnetization, the calculation gives 0.00 Bohr magnetons per cell. The density comes out at 9.9 g/cm³.

***

Look up the density of the first one.
10.7 g/cm³